Record 1
This record from OQMD describes an optimized crystal structure of LiTlNiGe. The functional is PBE.

Calculated values
symmetry	F-43m
E	-3.40	eV/atom
E above lowest polymorph	24.1	kJ/mol of atoms

Lattice parameters (Å, degrees): 4.628 4.628 4.628 60.00 60.00 60.00
Element x y z (fractional)
Li 0.000 0.000 0.000
Tl 0.500 0.500 0.500
Ni 0.250 0.250 0.250
Ge 0.750 0.750 0.750

***

Record 2
This record from OQMD describes an optimized crystal structure of Li4TlNi2Ge. The functional is PBE.

Calculated values
symmetry	P-4m2
E	-3.46	eV/atom

Lattice parameters (Å, degrees): 4.237 4.237 6.116 90.00 90.00 90.00
Element x y z (fractional)
Li 0.000 0.000 0.000
Li 0.000 0.500 0.231
Li 0.500 0.000 0.769
Li 0.500 0.500 0.500
Tl 0.000 0.000 0.500
Ni 0.000 0.500 0.785
Ni 0.500 0.000 0.215
Ge 0.500 0.500 0.000

***

Record 3
This record from OQMD describes an optimized crystal structure of LiTlNiGe. The functional is PBE.

Calculated values
symmetry	F-43m
E	-3.65	eV/atom
E above lowest polymorph	0.0	kJ/mol of atoms

Lattice parameters (Å, degrees): 4.511 4.511 4.511 60.00 60.00 60.00
Element x y z (fractional)
Li 0.000 0.000 0.000
Tl 0.750 0.750 0.750
Ni 0.500 0.500 0.500
Ge 0.250 0.250 0.250

***

Record 4
This record from OQMD describes an optimized crystal structure of LiNiGeW. The functional is PBE.

Calculated values
symmetry	F-43m
E	-5.91	eV/atom

Lattice parameters (Å, degrees): 4.203 4.203 4.203 60.00 60.00 60.00
Element x y z (fractional)
Li 0.000 0.000 0.000
Ni 0.500 0.500 0.500
Ge 0.250 0.250 0.250
W 0.750 0.750 0.750

***

Record 5
This record from OQMD describes an optimized crystal structure of LiYNiGe2. The functional is PBE.

Calculated values
symmetry	I-4m2
E	-5.27	eV/atom

Lattice parameters (Å, degrees): 5.853 5.853 5.853 139.74 139.74 58.24
Element x y z (fractional)
Li 0.000 0.000 0.000
Y 0.250 0.750 0.500
Ni 0.500 0.500 0.000
Ge 0.628 0.128 0.500
Ge 0.872 0.372 0.500

***

Record 6
This record from OQMD describes an optimized crystal structure of Li4ZnNi2Ge. The functional is PBE.

Calculated values
symmetry	P-4m2
E	-3.34	eV/atom

Lattice parameters (Å, degrees): 4.136 4.136 5.796 90.00 90.00 90.00
Element x y z (fractional)
Li 0.000 0.000 0.000
Li 0.000 0.500 0.248
Li 0.500 0.000 0.752
Li 0.500 0.500 0.500
Zn 0.500 0.500 0.000
Ni 0.000 0.500 0.734
Ni 0.500 0.000 0.266
Ge 0.000 0.000 0.500

***

Record 7
This record from OQMD describes an optimized crystal structure of Li4ZnNiGe2. The functional is PBE.

Calculated values
symmetry	P-4m2
E	-3.32	eV/atom

Lattice parameters (Å, degrees): 4.195 4.195 6.041 90.00 90.00 90.00
Element x y z (fractional)
Li 0.000 0.000 0.000
Li 0.000 0.500 0.241
Li 0.500 0.000 0.759
Li 0.500 0.500 0.500
Zn 0.000 0.000 0.500
Ni 0.500 0.500 0.000
Ge 0.000 0.500 0.772
Ge 0.500 0.000 0.228

***

Record 8
This record from OQMD describes an optimized crystal structure of LiZrNiGe. The functional is PBE.

Calculated values
symmetry	F-43m
E	-5.59	eV/atom

Lattice parameters (Å, degrees): 4.326 4.326 4.326 60.00 60.00 60.00
Element x y z (fractional)
Li 0.000 0.000 0.000
Zr 0.750 0.750 0.750
Ni 0.500 0.500 0.500
Ge 0.250 0.250 0.250

***

Record 9
This record from OQMD describes an optimized crystal structure of LiNpGe. The functional is PBE.

Calculated values
symmetry	F-43m
E	-6.33	eV/atom

Lattice parameters (Å, degrees): 4.665 4.665 4.665 60.00 60.00 60.00
Element x y z (fractional)
Li 0.000 0.000 0.000
Np 0.500 0.500 0.500
Ge 0.250 0.250 0.250

***

Record 10
This record from OQMD describes an optimized crystal structure of Li4GePdO6. The functional is PBE.

Calculated values
symmetry	C2
E	-5.55	eV/atom

Lattice parameters (Å, degrees): 5.052 5.052 5.054 99.72 99.72 119.95
Element x y z (fractional)
Li 0.000 0.000 0.000
Li 0.162 0.838 0.500
Li 0.497 0.503 0.500
Li 0.840 0.160 0.500
Ge 0.667 0.333 0.000
Pd 0.333 0.667 0.000
O 0.063 0.423 0.232
O 0.282 0.267 0.766
O 0.437 0.093 0.229
O 0.577 0.937 0.768
O 0.733 0.718 0.234
O 0.907 0.563 0.771

***

Record 11
This record from OQMD describes an optimized crystal structure of LiZrGe2O6. The functional is PBE.

Calculated values
symmetry	C2/c
E	-6.95	eV/atom

Lattice parameters (Å, degrees): 6.894 6.894 5.621 105.08 105.08 78.85
Element x y z (fractional)
Li 0.207 0.793 0.750
Li 0.793 0.207 0.250
Zr 0.413 0.587 0.250
Zr 0.587 0.413 0.750
Ge 0.113 0.305 0.723
Ge 0.305 0.113 0.223
Ge 0.695 0.887 0.777
Ge 0.887 0.695 0.277
O 0.116 0.162 0.407
O 0.139 0.584 0.320
O 0.162 0.116 0.907
O 0.278 0.496 0.839
O 0.416 0.861 0.180
O 0.496 0.278 0.339
O 0.504 0.722 0.661
O 0.584 0.139 0.820
O 0.722 0.504 0.161
O 0.838 0.884 0.093
O 0.861 0.416 0.680
O 0.884 0.838 0.593

***

Record 12
This record from OQMD describes an optimized crystal structure of LiGeSbOs. The functional is PBE.

Calculated values
symmetry	F-43m
E	-5.47	eV/atom
E above lowest polymorph	0.0	kJ/mol of atoms

Lattice parameters (Å, degrees): 4.508 4.508 4.508 60.00 60.00 60.00
Element x y z (fractional)
Li 0.000 0.000 0.000
Ge 0.750 0.750 0.750
Sb 0.250 0.250 0.250
Os 0.500 0.500 0.500